No. 1
# TeW2Cl

A relaxed TeW2Cl crystal (PBE, Alexandria via LeMat-Bulk).

POSCAR file:
```
TeW2Cl
1.0
-2.857 1.631 0.158
-0.668 -0.869 -3.106
-2.859 -5.209 2.072
Cl Te W
1 1 2
Cartesian
-2.477 -0.921 -0.956
-3.906 -3.526 0.080
-0.036 -0.065 0.026
-1.394 -2.540 1.010
```

Values from the calculation:
* E above lowest polymorph: 1.054 eV per atom
* DFT total energy: -6.584 eV per atom
* space group: P4/mmm
* uncorrected formation energy: 1139 meV/atom
* DOS at the Fermi energy: 0.862 states/eV per atom

---

No. 2
# LaZrRh2

A relaxed LaZrRh2 crystal (PBE, Alexandria via LeMat-Bulk).

POSCAR file:
```
LaZrRh2
1.0
-1.283 1.581 -2.709
0.437 -2.753 -1.813
-6.208 -5.016 0.013
Rh Zr La
2 1 1
Cartesian
0.164 -2.847 -1.739
-2.612 -3.791 -0.975
-2.084 -1.152 -1.805
-4.970 -5.036 -2.705
```

Values from the calculation:
* DFT total energy: -7.753 eV per atom
* space group: Pmmm
* ΔE_f: -0.708 eV per atom
* DOS at the Fermi energy: 0.743 states/eV per atom

---

No. 3
# CuNiSCl2

A relaxed CuNiSCl2 crystal (PBE, Alexandria via LeMat-Bulk).

POSCAR file:
```
CuNiSCl2
1.0
-4.043 0.512 2.229
1.032 -3.631 2.707
1.954 2.731 2.917
Ni S Cu Cl
1 1 1 2
Cartesian
0.000 0.000 0.000
0.977 1.365 1.459
-0.528 -0.194 3.927
0.516 -1.815 1.354
-2.022 0.256 1.115
```

Values from the calculation:
* E above lowest polymorph: 0.000 eV per atom
* DFT total energy: -3.299 eV per atom
* space group: P4/mmm
* uncorrected formation energy: 241 meV/atom
* DOS at the Fermi energy: 0.819 states/eV per atom

---

No. 4
# MgCr

A relaxed MgCr crystal (PBE, Alexandria via LeMat-Bulk).

POSCAR file:
```
MgCr
1.0
2.783 0.001 0.000
-1.126 2.545 0.000
0.000 0.000 9.016
Cr Mg
2 2
Cartesian
0.000 0.000 8.695
0.829 1.273 7.084
0.000 0.000 4.743
0.829 1.273 2.019
```

Values from the calculation:
* E above lowest polymorph: 0.082 eV per atom
* DFT total energy: -5.282 eV per atom
* space group: Cmme
* ΔE_f: 0.327 eV per atom
* DOS at the Fermi energy: 0.618 states/eV per atom

---

No. 5
# LiErAu6

A relaxed LiErAu6 crystal (PBE, Alexandria via LeMat-Bulk).

POSCAR file:
```
LiErAu6
1.0
-1.788 0.244 -3.881
-2.018 -3.710 0.697
-6.296 4.017 3.154
Li Er Au
1 1 6
Cartesian
-3.148 2.008 1.577
0.000 0.000 0.000
-1.903 -1.733 -1.592
-5.051 0.276 -0.015
-2.543 1.174 -1.114
-5.541 3.087 0.387
-2.658 -0.803 1.174
-5.656 1.110 2.676
```

Values from the calculation:
* E above lowest polymorph: 0.000 eV per atom
* DFT total energy: -3.734 eV per atom
* space group: P4/mmm
* ΔE_f: -0.466 eV per atom
* DOS at the Fermi energy: 0.279 states/eV per atom

---

No. 6
# CeAlCd

A relaxed CeAlCd crystal (PBE, Alexandria via LeMat-Bulk).

POSCAR file:
```
CeAlCd
1.0
-4.057 -2.592 -1.271
0.266 -3.438 -3.592
1.469 -4.434 4.353
Ce Al Cd
2 2 2
Cartesian
-2.766 -7.807 0.364
0.444 -2.657 -0.875
-1.192 -6.734 2.906
-1.130 -3.730 -3.416
-1.926 -4.520 0.732
-0.396 -5.945 -1.242
```

Values from the calculation:
* DFT total energy: -3.816 eV per atom
* space group: P6/mmm
* ΔE_f: -0.285 eV per atom
* DOS at the Fermi energy: 1.514 states/eV per atom

---

| no. | calculated volume (Å³ per cell) |
| --- | --- |
| 1 | 68 |
| 2 | 82 |
| 3 | 96 |
| 4 | 64 |
| 5 | 148 |
| 6 | 137 |